VASP calculation (PBE) on a relaxed NpTl2Bi2O6 crystal.

Cell lengths 6.210, 6.210, 6.981 Å; angles 97.25, 97.25, 118.80 degrees
Element x y z (fractional)
Np: 0.000 0.000 0.000
Tl: 0.165 0.835 0.500
Tl: 0.835 0.165 0.500
Bi: 0.329 0.671 0.000
Bi: 0.671 0.329 0.000
O: 0.033 0.364 0.161
O: 0.214 0.214 0.820
O: 0.364 0.033 0.161
O: 0.636 0.967 0.839
O: 0.786 0.786 0.180
O: 0.967 0.636 0.839

Properties
Magnetic moment = 2.59 μB/f.u.
Formation energy from raw total energies = -16.12 eV per formula unit
Space-group type = No. 12